PaNbSe after structural relaxation. Source: Alexandria, functional PBE-GGA.

Values from the calculation:
- DOS at the Fermi energy: 8.5 states/eV/cell
- Offset from the most stable computed form: 0 meV per atom

abc: 3.4584 6.2806 7.7345
angles: 53.25 102.90 106.00
Atoms (fractional coordinates):
Nb1 0.2722 0.2430 0.5815
Se1 0.1980 0.7404 0.9357
Pa1 0.5529 0.7838 0.6012
Pa2 0.9312 0.1855 0.9571
Nb2 0.6439 0.3601 0.2089
Se2 0.8706 0.6500 0.3704

---

PaNbSe2 after structural relaxation. Source: Alexandria, functional PBE-GGA.

Values from the calculation:
- DOS at the Fermi energy: 5.4 states/eV/cell
- Offset from the most stable computed form: 0 meV per atom

abc: 3.5059 3.5062 7.4886
angles: 103.57 103.54 90.00
Atoms (fractional coordinates):
Nb1 0.4713 0.6307 0.7282
Se1 0.6049 0.2646 0.9953
Pa1 0.2213 0.8813 0.2282
Se2 0.8377 0.4980 0.4611

---

PaNbSe2 after structural relaxation. Source: Alexandria, functional PBE-GGA.

Values from the calculation:
- DOS at the Fermi energy: 6.1 states/eV/cell
- Offset from the most stable computed form: 389 meV per atom

abc: 3.4242 3.4242 9.4700
angles: 79.58 79.58 60.00
Atoms (fractional coordinates):
Se1 0.9089 0.9089 0.2733
Nb1 0.0000 0.0000 0.0000
Se2 0.0911 0.0911 0.7267
Pa1 0.5000 0.5000 0.5000

---

Pa6NbSe12 after structural relaxation. Source: Alexandria, functional PBE-GGA.

Values from the calculation:
- DOS at the Fermi energy: 29.2 states/eV/cell

abc: 8.1432 8.1432 8.1432
angles: 99.36 99.36 99.36
Atoms (fractional coordinates):
Pa1 0.3602 0.6997 0.8690
Pa2 0.6398 0.3003 0.1310
Se1 0.3220 0.0672 0.9790
Se2 0.6780 0.9328 0.0210
Se3 0.4283 0.5677 0.1792
Se4 0.5677 0.1792 0.4283
Se5 0.9328 0.0210 0.6780
Se6 0.8208 0.5717 0.4323
Se7 0.0210 0.6780 0.9328
Pa3 0.3003 0.1310 0.6398
Pa4 0.8690 0.3602 0.6997
Se8 0.5717 0.4323 0.8208
Se9 0.0672 0.9790 0.3220
Pa5 0.6997 0.8690 0.3602
Se10 0.9790 0.3220 0.0672
Pa6 0.1310 0.6398 0.3003
Se11 0.4323 0.8208 0.5717
Nb1 0.0000 0.0000 0.0000
Se12 0.1792 0.4283 0.5677

---

PaNb2Se6 after structural relaxation. Source: Alexandria, functional PBE-GGA.

Values from the calculation:
- DOS at the Fermi energy: 4.8 states/eV/cell
- Offset from the most stable computed form: 0 meV per atom

abc: 6.3585 6.3585 7.6373
angles: 65.40 65.40 60.00
Atoms (fractional coordinates):
Pa1 0.0000 0.0000 0.0000
Se1 0.5715 0.2503 0.2678
Nb1 0.8364 0.8364 0.4907
Se2 0.2503 0.9104 0.2678
Nb2 0.1636 0.1636 0.5093
Se3 0.7497 0.0896 0.7322
Se4 0.0896 0.4285 0.7322
Se5 0.9104 0.5715 0.2678
Se6 0.4285 0.7497 0.7322

---

PaNbSe after structural relaxation. Source: Alexandria, functional PBE-GGA.

Values from the calculation:
- DOS at the Fermi energy: 3.9 states/eV/cell
- Offset from the most stable computed form: 80 meV per atom

abc: 3.2648 3.2648 6.9390
angles: 90.00 90.00 120.00
Atoms (fractional coordinates):
Pa1 0.6667 0.3333 0.3277
Nb1 0.3333 0.6667 0.7062
Se1 0.0000 0.0000 0.9660

---

PaNb2Se6 after structural relaxation. Source: Alexandria, functional PBE-GGA.

Values from the calculation:
- DOS at the Fermi energy: 4.6 states/eV/cell
- Offset from the most stable computed form: 91 meV per atom

abc: 4.8159 7.0127 7.9767
angles: 75.28 72.43 69.92
Atoms (fractional coordinates):
Se1 0.7319 0.6381 0.8981
Se2 0.3575 0.6734 0.6115
Se3 0.9378 0.8706 0.2539
Se4 0.2681 0.3619 0.1019
Pa1 0.0000 0.5000 0.5000
Nb1 0.8634 0.2158 0.0575
Se5 0.0622 0.1294 0.7461
Nb2 0.1366 0.7842 0.9425
Se6 0.6425 0.3266 0.3885

---

PaNb4Se8 after structural relaxation. Source: Alexandria, functional PBE-GGA.

Values from the calculation:
- DOS at the Fermi energy: 8.1 states/eV/cell

abc: 7.2088 7.2088 7.8496
angles: 90.00 117.33 120.00
Atoms (fractional coordinates):
Nb1 0.0000 0.0000 0.0000
Se1 0.9929 0.2346 0.7511
Se2 0.4955 0.7478 0.2433
Se3 0.5166 0.7583 0.7511
Se4 0.0071 0.2417 0.2489
Se5 0.5045 0.2522 0.7567
Nb2 0.5000 0.0000 0.0000
Se6 0.9929 0.7583 0.7511
Nb3 0.5000 0.5000 0.0000
Se7 0.0071 0.7654 0.2489
Pa1 0.0000 0.5000 0.5000
Nb4 0.0000 0.5000 0.0000
Se8 0.4834 0.2417 0.2489

---

The records above give, respectively, calculated total energy values of -48.65, -29.26, -27.70, -131.03, -58.51, -24.08, -57.68, -89.23 eV/cell.
The records above give, respectively, magnetization values of 0.0, 0.6, 0.0, 11.1, 0.0, 0.0, 0.0, 0.0 μB/cell.